Tm4HgPd | PBE | optimized geometry

## Properties
Total magnetization   0.00 μB per cell
Excess energy over the best structure of this formula in the dataset   227 meV/atom
Space-group type   P2_1/c (14)
ΔH_f (0 K)   -296 meV per atom
Raw total energy   -4.19 eV/atom

a b c (Å): 7.131 7.024 6.913
angles (deg): 90.00 92.83 90.00
Fractional positions:
1 Tm 0.149 0.158 0.173
2 Tm 0.149 0.342 0.673
3 Tm 0.330 0.649 0.130
4 Tm 0.330 0.851 0.630
5 Tm 0.670 0.149 0.370
6 Tm 0.670 0.351 0.870
7 Tm 0.851 0.658 0.327
8 Tm 0.851 0.842 0.827
9 Hg 0.500 0.000 0.000
10 Hg 0.500 0.500 0.500
11 Pd 0.000 0.000 0.500
12 Pd 0.000 0.500 0.000


Re2SiTc | PBE | optimized geometry

## Properties
Total magnetization   0.00 μB per cell
Space-group type   P2/m (10)
Raw total energy   -10.16 eV/atom
E_form (uncorrected)   0.007 eV per atom

a b c (Å): 2.793 4.044 5.173
angles (deg): 90.00 101.61 90.00
Fractional positions:
1 Re 0.066 0.000 0.260
2 Re 0.934 0.000 0.740
3 Si 0.500 0.500 0.500
4 Tc 0.500 0.500 0.000


LaSiSCl2 | PBE | optimized geometry

## Properties
Total magnetization   0.43 μB per cell
Excess energy over the best structure of this formula in the dataset   0 meV/atom
Space-group type   P4/mmm (123)
Raw total energy   -4.41 eV/atom
E_form (uncorrected)   -0.774 eV per atom

a b c (Å): 4.861 4.861 4.941
angles (deg): 90.00 90.00 90.00
Fractional positions:
1 La 0.000 0.000 0.000
2 Si 0.500 0.500 0.500
3 S 0.500 0.500 0.000
4 Cl 0.000 0.500 0.500
5 Cl 0.500 0.000 0.500


TaCu2RuC | PBE | optimized geometry

## Properties
Total magnetization   2.89 μB per cell
Space-group type   P4/mmm (123)
ΔH_f (0 K)   1877 meV per atom
Raw total energy   -5.83 eV/atom

a b c (Å): 4.751 4.751 3.933
angles (deg): 90.00 90.00 90.00
Fractional positions:
1 Ta 0.000 0.000 0.000
2 Cu 0.000 0.500 0.000
3 Cu 0.500 0.000 0.000
4 Ru 0.500 0.500 0.500
5 C 0.000 0.000 0.500


Rb3Cu2Te4 | PBE | optimized geometry

## Properties
Total magnetization   0.00 μB per cell
Excess energy over the best structure of this formula in the dataset   0 meV/atom
Space-group type   C2/c (15)
Raw total energy   -3.15 eV/atom
E_form (uncorrected)   -0.522 eV per atom

a b c (Å): 10.803 10.803 6.862
angles (deg): 96.73 96.73 64.68
Fractional positions:
1 Rb 0.127 0.873 0.750
2 Rb 0.204 0.461 0.469
3 Rb 0.461 0.204 0.969
4 Rb 0.539 0.796 0.031
5 Rb 0.796 0.539 0.531
6 Rb 0.873 0.127 0.250
7 Cu 0.088 0.371 0.964
8 Cu 0.371 0.088 0.464
9 Cu 0.629 0.912 0.536
10 Cu 0.912 0.629 0.036
11 Te 0.141 0.189 0.641
12 Te 0.169 0.563 0.989
13 Te 0.189 0.141 0.141
14 Te 0.437 0.831 0.511
15 Te 0.563 0.169 0.489
16 Te 0.811 0.859 0.859
17 Te 0.831 0.437 0.011
18 Te 0.859 0.811 0.359


Pm4Al3 | PBE | optimized geometry

## Properties
Total magnetization   0.00 μB per cell
Space-group type   R-3m (166)
ΔH_f (0 K)   -233 meV per atom
Raw total energy   -4.55 eV/atom

a b c (Å): 8.945 8.945 8.945
angles (deg): 33.65 33.65 33.65
Fractional positions:
1 Pm 0.120 0.120 0.120
2 Pm 0.372 0.372 0.372
3 Pm 0.628 0.628 0.628
4 Pm 0.880 0.880 0.880
5 Al 0.247 0.247 0.247
6 Al 0.500 0.500 0.500
7 Al 0.753 0.753 0.753


Q: What is the total magnetization in the fourth record?
A: 2.89 μB per cell


Q: Number 6 is which compound?
A: Pm4Al3


Q: What is the formula in the third record?
A: LaSiSCl2